(1)
The following is a SCAN calculation of TcIr3 at its PBEsol-relaxed geometry, from Alexandria via LeMat-Bulk.

abc: 2.6969 4.6852 4.6921
angles: 99.48 106.70 90.00
Atoms (fractional coordinates):
Ir: 0.2514 0.2522 0.5027
Ir: 0.7486 0.7478 0.4973
Ir: 0.5000 0.0000 0.0000
Tc: 0.0000 0.5000 0.0000

Output
- ΔE_f (eV per atom) = -0.151
- total DFT energy (no corrections) (eV per atom) = -62.2404
- space group = C2/m


(2)
The following is a SCAN calculation of CuIr2S4 at its PBEsol-relaxed geometry, from Alexandria via LeMat-Bulk.

abc: 6.9208 6.9208 6.9208
angles: 60.00 60.00 60.00
Atoms (fractional coordinates):
Cu: 0.5000 0.5000 0.5000
Cu: 0.7500 0.7500 0.7500
Ir: 0.6250 0.1250 0.1250
Ir: 0.1250 0.6250 0.1250
Ir: 0.1250 0.1250 0.1250
Ir: 0.1250 0.1250 0.6250
S: 0.8846 0.3461 0.8846
S: 0.3461 0.8846 0.8846
S: 0.9039 0.3654 0.3654
S: 0.3654 0.9039 0.3654
S: 0.8846 0.8846 0.3461
S: 0.8846 0.8846 0.8846
S: 0.3654 0.3654 0.3654
S: 0.3654 0.3654 0.9039

Output
- total DFT energy (no corrections) (eV per atom) = -28.4614
- space group = Fd-3m


(3)
The following is a SCAN calculation of KTaSb at its PBEsol-relaxed geometry, from Alexandria via LeMat-Bulk.

abc: 3.0066 5.2280 5.2280
angles: 120.00 90.00 90.00
Atoms (fractional coordinates):
K: 0.0000 0.0000 0.0000
Sb: 0.5000 0.3333 0.6667
Ta: 0.5000 0.6667 0.3333

Output
- energy relative to the lowest polymorph listed for this composition (eV per atom) = 0.394
- total DFT energy (no corrections) (eV per atom) = -36.4891
- space group = P-6m2


(4)
The following is a SCAN calculation of Li2NbS3 at its PBEsol-relaxed geometry, from Alexandria via LeMat-Bulk.

abc: 5.9856 6.1126 6.4017
angles: 80.77 70.88 60.69
Last column: magnetic moment on the atom in μB.
Atoms (fractional coordinates):
Nb: 0.6806 0.6388 0.0000  0.68
Nb: 0.3194 0.3612 0.0000  0.68
S: 0.2659 0.0000 0.2266  0.01
S: 0.0838 0.3416 0.7492  0.00
S: 0.4254 0.6584 0.7492  0.00
S: 0.9162 0.6584 0.2508  0.00
S: 0.5746 0.3416 0.2508  0.00
S: 0.7341 0.0000 0.7734  0.01
Li: 0.1544 0.6912 0.5000  0.00
Li: 0.8456 0.3088 0.5000  0.00
Li: 0.5000 0.0000 0.5000  0.00
Li: 0.0000 0.0000 0.0000  0.00

Output
- energy relative to the lowest polymorph listed for this composition (eV per atom) = 0.027
- total DFT energy (no corrections) (eV per atom) = -12.4354
- space group = C2/m


(5)
The following is a SCAN calculation of CdReSeI2 at its PBEsol-relaxed geometry, from Alexandria via LeMat-Bulk.

abc: 5.5008 5.5453 5.5453
angles: 90.00 90.00 90.00
Last column: magnetic moment on the atom in μB.
Atoms (fractional coordinates):
I: 0.0000 0.0000 0.5000  0.07
I: 0.0000 0.5000 0.0000  0.07
Re: 0.5000 0.5000 0.5000  3.91
Se: 0.0000 0.0000 0.0000  -0.02
Cd: 0.5000 0.0000 0.0000  0.01

Output
- total DFT energy (no corrections) (eV per atom) = -37.5206
- space group = P4/mmm


(6)
The following is a SCAN calculation of NaPrPCO7 at its PBEsol-relaxed geometry, from Alexandria via LeMat-Bulk.

abc: 4.8495 7.1797 10.0683
angles: 90.00 90.84 90.00
Last column: magnetic moment on the atom in μB.
Atoms (fractional coordinates):
Na: 0.1965 0.5766 0.7796  0.00
Na: 0.8035 0.0766 0.2204  0.00
Pr: 0.7726 0.2015 0.6419  0.00
Pr: 0.2274 0.7015 0.3581  0.00
P: 0.6829 0.7085 0.5775  0.00
P: 0.3171 0.2085 0.4225  0.00
C: 0.7132 0.2971 0.9290  -0.03
C: 0.2868 0.7971 0.0710  -0.03
O: 0.3177 0.7728 0.9485  0.26
O: 0.9528 0.3079 0.8756  0.29
O: 0.5084 0.3083 0.8459  0.28
O: 0.7918 0.8811 0.6510  0.02
O: 0.8076 0.5309 0.6391  0.03
O: 0.2522 0.2184 0.5752  0.01
O: 0.3636 0.6990 0.5824  0.03
O: 0.6364 0.1990 0.4176  0.03
O: 0.7478 0.7184 0.4248  0.01
O: 0.1924 0.0309 0.3609  0.03
O: 0.2082 0.3811 0.3490  0.02
O: 0.4916 0.8083 0.1541  0.28
O: 0.0472 0.8079 0.1244  0.29
O: 0.6823 0.2728 0.0515  0.26

Output
- total DFT energy (no corrections) (eV per atom) = -12.4906
- space group = P2_1


(7)
The following is a SCAN calculation of MnNiTe4 at its PBEsol-relaxed geometry, from Alexandria via LeMat-Bulk.

abc: 6.1106 6.1106 6.1106
angles: 60.00 60.00 60.00
Last column: magnetic moment on the atom in μB.
Atoms (fractional coordinates):
Mn: 0.7500 0.7500 0.7500  4.62
Ni: 0.0000 0.0000 0.0000  0.71
Te: 0.3747 0.3747 0.3747  -0.01
Te: 0.3747 0.3747 0.8760  -0.01
Te: 0.8760 0.3747 0.3747  -0.01
Te: 0.3747 0.8760 0.3747  -0.01

Output
- total DFT energy (no corrections) (eV per atom) = -29.5897
- space group = F-43m


(8)
The following is a SCAN calculation of TcBi2SbMo at its PBEsol-relaxed geometry, from Alexandria via LeMat-Bulk.

abc: 5.0237 5.2369 5.2369
angles: 90.00 90.00 90.00
Last column: magnetic moment on the atom in μB.
Atoms (fractional coordinates):
Sb: 0.5000 0.0000 0.0000  -0.04
Mo: 0.5000 0.5000 0.5000  3.90
Bi: 0.0000 0.0000 0.5000  -0.08
Bi: 0.0000 0.5000 0.0000  -0.08
Tc: 0.0000 0.0000 0.0000  -0.06

Output
- total DFT energy (no corrections) (eV per atom) = -51.6829
- space group = P4/mmm


(9)
The following is a SCAN calculation of K2BF at its PBEsol-relaxed geometry, from Alexandria via LeMat-Bulk.

abc: 6.6647 6.6647 6.6647
angles: 101.12 113.80 113.80
Last column: magnetic moment on the atom in μB.
Atoms (fractional coordinates):
K: 0.0685 0.6935 0.1250  0.03
K: 0.9315 0.0565 0.6250  0.03
K: 0.4315 0.3750 0.3065  0.03
K: 0.5685 0.8750 0.9435  0.03
B: 0.0000 0.5000 0.5000  0.64
B: 0.5000 0.2500 0.7500  0.64
F: 0.0000 0.0000 0.0000  0.01
F: 0.5000 0.7500 0.2500  0.01

Output
- total DFT energy (no corrections) (eV per atom) = -7.2595
- space group = I-42d


(10)
The following is a SCAN calculation of In2Co at its PBEsol-relaxed geometry, from Alexandria via LeMat-Bulk.

abc: 2.9341 6.3623 6.4364
angles: 90.00 103.18 90.00
Atoms (fractional coordinates):
Co: 0.6139 0.0941 0.2278
Co: 0.3861 0.5941 0.7722
In: 0.0058 0.3512 0.0116
In: 0.9942 0.8512 0.9884
In: 0.7521 0.3872 0.5041
In: 0.2479 0.8872 0.4959

Output
- ΔE_f (eV per atom) = 0.138
- total DFT energy (no corrections) (eV per atom) = -27.8880
- space group = Cmc2_1


(11)
The following is a SCAN calculation of ScTaNi at its PBEsol-relaxed geometry, from Alexandria via LeMat-Bulk.

abc: 3.0651 4.3121 4.3121
angles: 120.00 90.00 90.00
Atoms (fractional coordinates):
Ni: 0.0626 0.0000 0.0000
Sc: 0.6907 0.6667 0.3333
Ta: 0.2468 0.3333 0.6667

Output
- ΔE_f (eV per atom) = 0.127
- energy relative to the lowest polymorph listed for this composition (eV per atom) = 0.000
- total DFT energy (no corrections) (eV per atom) = -32.2042
- space group = P3m1


(12)
The following is a SCAN calculation of SiPb2Br at its PBEsol-relaxed geometry, from Alexandria via LeMat-Bulk.

abc: 3.5372 3.5372 8.1803
angles: 90.00 90.00 90.00
Atoms (fractional coordinates):
Br: 0.5000 0.5000 0.7382
Pb: 0.0000 0.0000 0.9922
Pb: 0.5000 0.5000 0.2813
Si: 0.0000 0.0000 0.4884

Output
- energy relative to the lowest polymorph listed for this composition (eV per atom) = 0.198
- total DFT energy (no corrections) (eV per atom) = -44.9755
- space group = P4mm


(13)
The following is a SCAN calculation of RuPt2 at its PBEsol-relaxed geometry, from Alexandria via LeMat-Bulk.

abc: 3.6752 3.6752 4.2949
angles: 90.00 90.00 120.00
Atoms (fractional coordinates):
Pt: 0.6667 0.3333 0.6902
Pt: 0.3333 0.6667 0.3098
Ru: 0.0000 0.0000 0.0000

Output
- ΔE_f (eV per atom) = 0.711
- total DFT energy (no corrections) (eV per atom) = -57.6928
- space group = P-3m1


(14)
The following is a SCAN calculation of BaV12S16 at its PBEsol-relaxed geometry, from Alexandria via LeMat-Bulk.

abc: 6.3741 9.0468 9.5867
angles: 118.14 109.42 90.00
Atoms (fractional coordinates):
Ba: 0.3749 0.0007 0.7498
V: 0.9331 0.4881 0.8661
V: 0.4326 0.4835 0.8653
V: 0.1313 0.6268 0.2625
V: 0.6331 0.6332 0.2662
V: 0.0582 0.8831 0.1165
V: 0.5617 0.8854 0.1235
V: 0.0667 0.5072 0.6353
V: 0.5686 0.5072 0.6353
V: 0.8806 0.3782 0.2428
V: 0.3622 0.3782 0.2428
V: 0.9282 0.1146 0.3719
V: 0.4437 0.1146 0.3719
S: 0.5264 0.3564 0.0528
S: 0.0207 0.3475 0.0415
S: 0.7015 0.9453 0.4029
S: 0.1966 0.9451 0.3932
S: 0.4032 0.7003 0.8065
S: 0.9016 0.7053 0.8032
S: 0.4819 0.6583 0.4631
S: 0.9812 0.6583 0.4631
S: 0.2944 0.0544 0.0916
S: 0.7971 0.0544 0.0916
S: 0.6010 0.2872 0.6955
S: 0.0945 0.2872 0.6955
S: 0.7072 0.3348 0.4145
S: 0.2091 0.3314 0.4182
S: 0.2918 0.6667 0.0834
S: 0.7916 0.6667 0.0834

Output
- total DFT energy (no corrections) (eV per atom) = -15.1452
- space group = Cm


(15)
The following is a SCAN calculation of K2AgP at its PBEsol-relaxed geometry, from Alexandria via LeMat-Bulk.

abc: 4.5086 5.2978 5.8597
angles: 116.88 90.00 90.00
Atoms (fractional coordinates):
P: 0.0000 0.7824 0.5649
K: 0.0000 0.0965 0.1930
K: 0.5000 0.4000 0.8001
Ag: 0.5000 0.7206 0.4413

Output
- ΔE_f (eV per atom) = -0.348
- total DFT energy (no corrections) (eV per atom) = -14.9534
- space group = Amm2


(16)
The following is a SCAN calculation of MnReSb2 at its PBEsol-relaxed geometry, from Alexandria via LeMat-Bulk.

abc: 3.0582 3.0582 10.1186
angles: 81.31 81.31 60.00
Last column: magnetic moment on the atom in μB.
Atoms (fractional coordinates):
Mn: 0.5111 0.5111 0.4666  3.22
Re: 0.2380 0.2380 0.2859  -0.30
Sb: 0.9784 0.9784 0.0648  0.01
Sb: 0.7724 0.7724 0.6827  -0.07

Output
- energy relative to the lowest polymorph listed for this composition (eV per atom) = 0.000
- total DFT energy (no corrections) (eV per atom) = -40.6515
- space group = R3m


(17)
The following is a SCAN calculation of InCu2Ag at its PBEsol-relaxed geometry, from Alexandria via LeMat-Bulk.

abc: 4.1485 4.5470 4.1485
angles: 62.86 90.00 117.14
Atoms (fractional coordinates):
Cu: 0.2500 0.5000 0.2500
Cu: 0.7500 0.5000 0.7500
Ag: 0.5000 0.0000 0.5000
In: 0.0000 0.0000 0.0000

Output
- ΔE_f (eV per atom) = 0.057
- total DFT energy (no corrections) (eV per atom) = -23.7306
- space group = I4/mmm


(18)
The following is a SCAN calculation of MoIr2Rh at its PBEsol-relaxed geometry, from Alexandria via LeMat-Bulk.

abc: 3.8343 3.8343 4.6989
angles: 114.08 114.08 90.00
Atoms (fractional coordinates):
Mo: 0.5000 0.5000 0.0000
Ir: 0.0000 0.0000 0.0000
Ir: 0.2500 0.7500 0.5000
Rh: 0.7500 0.2500 0.5000

Output
- ΔE_f (eV per atom) = -0.254
- energy relative to the lowest polymorph listed for this composition (eV per atom) = 0.053
- total DFT energy (no corrections) (eV per atom) = -52.9680
- space group = I-4m2


(19)
The following is a SCAN calculation of Sr2TcPb at its PBEsol-relaxed geometry, from Alexandria via LeMat-Bulk.

abc: 3.4592 4.5254 6.9889
angles: 90.00 90.00 90.00
Last column: magnetic moment on the atom in μB.
Atoms (fractional coordinates):
Pb: 0.5000 0.5000 0.5000  -0.01
Sr: 0.0000 0.0000 0.7648  -0.03
Sr: 0.0000 0.0000 0.2352  -0.03
Tc: 0.5000 0.5000 0.0000  2.18

Output
- ΔE_f (eV per atom) = 0.358
- total DFT energy (no corrections) (eV per atom) = -38.4900
- space group = Pmmm


(20)
The following is a SCAN calculation of Rb2MoO4 at its PBEsol-relaxed geometry, from Alexandria via LeMat-Bulk.

abc: 6.3943 8.1535 10.9199
angles: 90.00 90.00 90.00
Last column: magnetic moment on the atom in μB.
Atoms (fractional coordinates):
Rb: 0.7500 0.3274 0.5690  0.00
Rb: 0.7500 0.8274 0.9310  0.00
Rb: 0.2500 0.6726 0.4310  0.00
Rb: 0.2500 0.1726 0.0690  0.00
Rb: 0.7500 0.9878 0.2880  0.00
Rb: 0.7500 0.4878 0.2120  0.00
Rb: 0.2500 0.0122 0.7120  0.00
Rb: 0.2500 0.5122 0.7880  0.00
Mo: 0.7500 0.7850 0.5885  -0.02
Mo: 0.7500 0.2850 0.9115  -0.02
Mo: 0.2500 0.2150 0.4115  -0.02
Mo: 0.2500 0.7150 0.0885  -0.02
O: 0.7500 0.9960 0.5519  0.07
O: 0.7500 0.4960 0.9481  0.07
O: 0.2500 0.0040 0.4481  0.07
O: 0.2500 0.5040 0.0519  0.07
O: 0.7500 0.6663 0.4525  0.00
O: 0.7500 0.1663 0.0475  0.00
O: 0.2500 0.3337 0.5475  0.00
O: 0.2500 0.8337 0.9525  0.00
O: 0.5247 0.7377 0.6754  0.02
O: 0.9753 0.2377 0.8246  0.02
O: 0.0247 0.2623 0.3246  0.02
O: 0.4753 0.7623 0.1754  0.02
O: 0.4753 0.2623 0.3246  0.02
O: 0.0247 0.7623 0.1754  0.02
O: 0.9753 0.7377 0.6754  0.02
O: 0.5247 0.2377 0.8246  0.02

Output
- energy relative to the lowest polymorph listed for this composition (eV per atom) = 0.008
- total DFT energy (no corrections) (eV per atom) = -16.7500
- space group = Pnma


(21)
The following is a SCAN calculation of MgAl2Ge2 at its PBEsol-relaxed geometry, from Alexandria via LeMat-Bulk.

abc: 4.0982 4.0982 6.7115
angles: 90.00 90.00 120.00
Atoms (fractional coordinates):
Mg: 0.0000 0.0000 0.0000
Ge: 0.3333 0.6667 0.2378
Ge: 0.6667 0.3333 0.7622
Al: 0.3333 0.6667 0.6319
Al: 0.6667 0.3333 0.3681

Output
- ΔE_f (eV per atom) = -0.103
- total DFT energy (no corrections) (eV per atom) = -11.8335
- space group = P-3m1


(22)
The following is a SCAN calculation of Ca5Pt3 at its PBEsol-relaxed geometry, from Alexandria via LeMat-Bulk.

abc: 6.2818 8.4076 8.4076
angles: 120.00 90.00 90.00
Atoms (fractional coordinates):
Ca: 0.7500 0.0000 0.2624
Ca: 0.2500 0.0000 0.7376
Ca: 0.7500 0.7376 0.7376
Ca: 0.2500 0.7376 0.0000
Ca: 0.0000 0.6667 0.3333
Ca: 0.5000 0.6667 0.3333
Ca: 0.0000 0.3333 0.6667
Ca: 0.5000 0.3333 0.6667
Ca: 0.2500 0.2624 0.2624
Ca: 0.7500 0.2624 0.0000
Pt: 0.2500 0.0000 0.3908
Pt: 0.7500 0.0000 0.6092
Pt: 0.2500 0.6092 0.6092
Pt: 0.7500 0.6092 0.0000
Pt: 0.7500 0.3908 0.3908
Pt: 0.2500 0.3908 0.0000

Output
- ΔE_f (eV per atom) = -0.933
- energy relative to the lowest polymorph listed for this composition (eV per atom) = 0.000
- total DFT energy (no corrections) (eV per atom) = -33.2953
- space group = P6_3/mcm


(23)
The following is a SCAN calculation of InOs3S at its PBEsol-relaxed geometry, from Alexandria via LeMat-Bulk.

abc: 4.8338 4.8338 4.8338
angles: 90.00 90.00 90.00
Last column: magnetic moment on the atom in μB.
Atoms (fractional coordinates):
S: 0.5000 0.5000 0.5000  0.18
Os: 0.0000 0.5000 0.0000  1.96
Os: 0.0000 0.0000 0.5000  1.96
Os: 0.5000 0.0000 0.0000  1.96
In: 0.0000 0.0000 0.0000  -0.07

Output
- total DFT energy (no corrections) (eV per atom) = -48.3191
- space group = Pm-3m


(24)
The following is a SCAN calculation of BaNiP2 at its PBEsol-relaxed geometry, from Alexandria via LeMat-Bulk.

abc: 3.9240 3.7707 6.8596
angles: 90.00 90.00 121.35
Atoms (fractional coordinates):
Ba: 0.5000 0.0000 0.5000
Ni: 0.5000 0.0000 0.0000
P: 0.0000 0.0000 0.8414
P: 0.0000 0.0000 0.1586

Output
- ΔE_f (eV per atom) = -0.292
- total DFT energy (no corrections) (eV per atom) = -19.4223
- space group = Cmmm